# 1
Material: ScMo2PS
Method: DFT, PBE
State: optimized geometry

a b c (Å): 4.4056 4.4056 4.8038
angles (deg): 90.00 90.00 90.00
Fractional positions:
Sc1 0.0000 0.0000 0.0000
Mo1 0.0000 0.5000 0.5000
Mo2 0.5000 0.0000 0.5000
P1 0.5000 0.5000 0.0000
S1 0.5000 0.5000 0.5000

Results
Crystal system ... tetragonal
Uncorrected formation energy ... 495 meV per atom

# 2
Material: In8Hg5
Method: DFT, PBE
State: optimized geometry

a b c (Å): 9.6765 9.6765 9.6765
angles (deg): 109.10 109.10 109.10
Fractional positions:
In1 0.0000 0.0000 0.0000
In2 0.0204 0.0204 0.6505
In3 0.0204 0.6505 0.0204
In4 0.0282 0.4028 0.6772
In5 0.0282 0.6772 0.4028
In6 0.2647 0.9131 0.9131
In7 0.4028 0.0282 0.6772
In8 0.4028 0.6772 0.0282
In9 0.6505 0.0204 0.0204
In10 0.6541 0.6541 0.8654
In11 0.6541 0.8654 0.6541
In12 0.6772 0.0282 0.4028
In13 0.6772 0.4028 0.0282
In14 0.8654 0.6541 0.6541
In15 0.9131 0.2647 0.9131
In16 0.9131 0.9131 0.2647
Hg1 0.0468 0.3041 0.3041
Hg2 0.3041 0.0468 0.3041
Hg3 0.3041 0.3041 0.0468
Hg4 0.3073 0.6461 0.6461
Hg5 0.3236 0.3236 0.7232
Hg6 0.3236 0.7232 0.3236
Hg7 0.4339 0.4339 0.4339
Hg8 0.6461 0.3073 0.6461
Hg9 0.6461 0.6461 0.3073
Hg10 0.7232 0.3236 0.3236

Results
ΔE_f ... 28 meV/atom
Crystal system ... trigonal

# 3
Material: Cr4Co3Ni16
Method: DFT, PBE
State: optimized geometry

a b c (Å): 5.5031 5.5031 9.3173
angles (deg): 90.00 90.00 90.00
Fractional positions:
Cr1 0.0000 0.5000 0.1784
Cr2 0.0000 0.5000 0.8216
Cr3 0.5000 0.0000 0.1784
Cr4 0.5000 0.0000 0.8216
Co1 0.0000 0.0000 0.0000
Co2 0.0000 0.5000 0.5000
Co3 0.5000 0.0000 0.5000
Ni1 0.0000 0.0000 0.2380
Ni2 0.0000 0.0000 0.7620
Ni3 0.2690 0.2690 0.3634
Ni4 0.2690 0.2690 0.6366
Ni5 0.2690 0.7310 0.3634
Ni6 0.2690 0.7310 0.6366
Ni7 0.2841 0.2841 0.0000
Ni8 0.2841 0.7159 0.0000
Ni9 0.5000 0.5000 0.1890
Ni10 0.5000 0.5000 0.8110
Ni11 0.7159 0.2841 0.0000
Ni12 0.7159 0.7159 0.0000
Ni13 0.7310 0.2690 0.3634
Ni14 0.7310 0.2690 0.6366
Ni15 0.7310 0.7310 0.3634
Ni16 0.7310 0.7310 0.6366

Results
ΔE_f ... 328 meV/atom
Crystal system ... tetragonal

# 4
Material: Pr2Ho12Zr
Method: DFT, PBE
State: optimized geometry

a b c (Å): 6.6157 6.6157 24.4834
angles (deg): 90.00 90.00 116.26
Fractional positions:
Pr1 0.2500 0.7500 0.2378
Pr2 0.2500 0.7500 0.7678
Pr3 0.7500 0.2500 0.2322
Pr4 0.7500 0.2500 0.7622
Ho1 0.0002 0.9998 0.4295
Ho2 0.9998 0.0002 0.5705
Ho3 0.9997 0.4997 0.3833
Ho4 0.0003 0.5003 0.6167
Ho5 0.0098 0.5098 0.0856
Ho6 0.0118 0.9882 0.9379
Ho7 0.2500 0.2500 0.1745
Ho8 0.2500 0.2500 0.3057
Ho9 0.2500 0.2500 0.6943
Ho10 0.2500 0.2500 0.8255
Ho11 0.4882 0.5118 0.9379
Ho12 0.4902 0.9902 0.0856
Ho13 0.5003 0.0003 0.3833
Ho14 0.4997 0.9997 0.6167
Ho15 0.4998 0.5002 0.4295
Ho16 0.5002 0.4998 0.5705
Ho17 0.5098 0.0098 0.9144
Ho18 0.5118 0.4882 0.0621
Ho19 0.7500 0.7500 0.1745
Ho20 0.7500 0.7500 0.3057
Ho21 0.7500 0.7500 0.6943
Ho22 0.7500 0.7500 0.8255
Ho23 0.9882 0.0118 0.0621
Ho24 0.9902 0.4902 0.9144
Zr1 0.2500 0.7500 0.5000
Zr2 0.7500 0.2500 0.5000

Results
ΔE_f ... 180 meV/atom
Crystal system ... orthorhombic

# 5
Material: Sm2Ho2Er2Th
Method: DFT, PBE
State: optimized geometry

a b c (Å): 17.6128 3.5131 8.2762
angles (deg): 90.00 116.12 90.00
Fractional positions:
Sm1 0.1428 0.0000 0.3855
Sm2 0.3572 0.5000 0.6145
Sm3 0.6428 0.5000 0.3855
Sm4 0.8572 0.0000 0.6145
Ho1 0.0708 0.0000 0.8988
Ho2 0.4292 0.5000 0.1012
Ho3 0.5708 0.5000 0.8988
Ho4 0.9292 0.0000 0.1012
Er1 0.2113 0.5000 0.7953
Er2 0.2887 0.0000 0.2047
Er3 0.7113 0.0000 0.7953
Er4 0.7887 0.5000 0.2047
Th1 0.0000 0.5000 0.5000
Th2 0.5000 0.0000 0.5000

Results
ΔE_f ... 122 meV/atom
Crystal system ... monoclinic

# 6
Material: ZnInAg2
Method: DFT, PBE
State: optimized geometry

a b c (Å): 3.5708 3.5708 5.9191
angles (deg): 90.00 90.00 90.00
Fractional positions:
Zn1 0.0000 0.0000 0.0000
In1 0.5000 0.5000 0.7248
Ag1 0.0000 0.0000 0.4704
Ag2 0.5000 0.5000 0.2132

Results
ΔE_f ... 7 meV/atom
Crystal system ... tetragonal

# 7
Material: CaPmZnPb
Method: DFT, PBE
State: optimized geometry

a b c (Å): 7.6137 7.6137 7.6137
angles (deg): 90.00 90.00 90.00
Fractional positions:
Ca1 0.0000 0.0000 0.0000
Ca2 0.0000 0.5000 0.5000
Ca3 0.5000 0.0000 0.5000
Ca4 0.5000 0.5000 0.0000
Pm1 0.0000 0.0000 0.5000
Pm2 0.0000 0.5000 0.0000
Pm3 0.5000 0.0000 0.0000
Pm4 0.5000 0.5000 0.5000
Zn1 0.2500 0.2500 0.7500
Zn2 0.2500 0.7500 0.2500
Zn3 0.7500 0.2500 0.2500
Zn4 0.7500 0.7500 0.7500
Pb1 0.2500 0.2500 0.2500
Pb2 0.2500 0.7500 0.7500
Pb3 0.7500 0.2500 0.7500
Pb4 0.7500 0.7500 0.2500

Results
ΔE_f ... -388 meV/atom
Crystal system ... cubic

# 8
Material: HfSn2Sb2
Method: DFT, PBE
State: optimized geometry

a b c (Å): 7.8516 7.8516 4.2712
angles (deg): 90.00 90.00 90.00
Fractional positions:
Hf1 0.0000 0.0000 0.0000
Hf2 0.5000 0.5000 0.0000
Sn1 0.1385 0.3615 0.0000
Sn2 0.3615 0.8615 0.0000
Sn3 0.6385 0.1385 0.0000
Sn4 0.8615 0.6385 0.0000
Sb1 0.1770 0.6770 0.5000
Sb2 0.3230 0.1770 0.5000
Sb3 0.6770 0.8230 0.5000
Sb4 0.8230 0.3230 0.5000

Results
Distance to the lowest polymorph of the same formula ... 0.542 eV per formula unit
Crystal system ... tetragonal
Uncorrected formation energy ... 188 meV per atom

# 9
Material: Tb5PuP6
Method: DFT, PBE
State: optimized geometry

a b c (Å): 6.9611 6.9611 6.9629
angles (deg): 99.60 99.60 119.99
Fractional positions:
Tb1 0.0000 0.0000 0.0000
Tb2 0.1664 0.8336 0.5000
Tb3 0.3325 0.6675 0.0000
Tb4 0.6675 0.3325 0.0000
Tb5 0.8336 0.1664 0.5000
Pu1 0.5000 0.5000 0.5000
P1 0.0880 0.4173 0.2517
P2 0.2532 0.2532 0.7476
P3 0.4173 0.0880 0.2517
P4 0.5827 0.9120 0.7483
P5 0.7468 0.7468 0.2524
P6 0.9120 0.5827 0.7483

Results
ΔE_f ... -1527 meV/atom
Crystal system ... monoclinic

# 10
Material: Rb3BiAu
Method: DFT, PBE
State: optimized geometry

a b c (Å): 6.4597 6.4597 6.4597
angles (deg): 90.00 90.00 90.00
Fractional positions:
Rb1 0.0000 0.0000 0.5000
Rb2 0.0000 0.5000 0.0000
Rb3 0.5000 0.0000 0.0000
Bi1 0.5000 0.5000 0.5000
Au1 0.0000 0.0000 0.0000

Results
ΔE_f ... -111 meV/atom
Distance to the lowest polymorph of the same formula ... 0.632 eV per formula unit
Crystal system ... cubic

# 11
Material: Ac2Sb2Au3
Method: DFT, PBE
State: optimized geometry

a b c (Å): 12.1998 4.6727 6.9251
angles (deg): 90.00 93.40 90.00
Fractional positions:
Ac1 0.1181 0.0000 0.2860
Ac2 0.3819 0.5000 0.7140
Ac3 0.6181 0.5000 0.2860
Ac4 0.8819 0.0000 0.7140
Sb1 0.1789 0.0000 0.7996
Sb2 0.3211 0.5000 0.2004
Sb3 0.6789 0.5000 0.7996
Sb4 0.8211 0.0000 0.2004
Au1 0.0000 0.5000 0.0000
Au2 0.0914 0.5000 0.6314
Au3 0.4086 0.0000 0.3686
Au4 0.5000 0.0000 0.0000
Au5 0.5914 0.0000 0.6314
Au6 0.9086 0.5000 0.3686

Results
Crystal system ... monoclinic
Uncorrected formation energy ... -768 meV per atom

# 12
Material: AcLaTeI
Method: DFT, PBE
State: optimized geometry

a b c (Å): 8.0284 8.0284 8.0284
angles (deg): 90.00 90.00 90.00
Fractional positions:
Ac1 0.0000 0.0000 0.0000
Ac2 0.0000 0.5000 0.5000
Ac3 0.5000 0.0000 0.5000
Ac4 0.5000 0.5000 0.0000
La1 0.0000 0.0000 0.5000
La2 0.0000 0.5000 0.0000
La3 0.5000 0.0000 0.0000
La4 0.5000 0.5000 0.5000
Te1 0.2500 0.2500 0.2500
Te2 0.2500 0.7500 0.7500
Te3 0.7500 0.2500 0.7500
Te4 0.7500 0.7500 0.2500
I1 0.2500 0.2500 0.7500
I2 0.2500 0.7500 0.2500
I3 0.7500 0.2500 0.2500
I4 0.7500 0.7500 0.7500

Results
Crystal system ... cubic
Uncorrected formation energy ... -1187 meV per atom

# 13
Material: Dy3PdRh
Method: DFT, PBE
State: optimized geometry

a b c (Å): 5.9008 5.9008 8.2994
angles (deg): 110.84 110.84 65.64
Fractional positions:
Dy1 0.0115 0.0115 0.2558
Dy2 0.3069 0.3069 0.1403
Dy3 0.3069 0.3069 0.6700
Dy4 0.6931 0.6931 0.3300
Dy5 0.6931 0.6931 0.8597
Dy6 0.9885 0.9885 0.7442
Pd1 0.2905 0.7095 0.5000
Pd2 0.7095 0.2905 0.5000
Rh1 0.2783 0.7217 0.0000
Rh2 0.7217 0.2783 0.0000

Results
ΔE_f ... -689 meV/atom
Crystal system ... monoclinic

# 14
Material: NaZr2BeC
Method: DFT, PBE
State: optimized geometry

a b c (Å): 4.8656 4.8656 3.9629
angles (deg): 90.00 90.00 90.00
Fractional positions:
Na1 0.0000 0.0000 0.0000
Zr1 0.0000 0.5000 0.0000
Zr2 0.5000 0.0000 0.0000
Be1 0.5000 0.5000 0.5000
C1 0.0000 0.0000 0.5000

Results
ΔE_f ... 2170 meV/atom
Crystal system ... tetragonal

# 15
Material: CdAsS
Method: DFT, PBE
State: optimized geometry

a b c (Å): 3.7299 5.2762 8.1450
angles (deg): 97.12 91.06 90.44
Fractional positions:
Cd1 0.0000 0.0000 0.0000
Cd2 0.0088 0.9342 0.4208
As1 0.0022 0.4794 0.8977
As2 0.4936 0.4415 0.6898
S1 0.5061 0.8601 0.6411
S2 0.5130 0.0837 0.2315

Results
Distance to the lowest polymorph of the same formula ... 0.384 eV per formula unit
Crystal system ... triclinic
Uncorrected formation energy ... -190 meV per atom

# 16
Material: MgIn3Hg2
Method: DFT, PBE
State: optimized geometry

a b c (Å): 8.7608 8.7608 8.7608
angles (deg): 138.52 62.74 135.14
Fractional positions:
Mg1 0.2500 0.2500 0.0000
Mg2 0.7500 0.7500 0.0000
In1 0.1659 0.7322 0.8981
In2 0.2500 0.7500 0.5000
In3 0.3341 0.2322 0.5663
In4 0.6659 0.7678 0.4337
In5 0.7500 0.2500 0.5000
In6 0.8341 0.2678 0.1019
Hg1 0.1383 0.2226 0.3608
Hg2 0.3617 0.7226 0.0843
Hg3 0.6383 0.2774 0.9157
Hg4 0.8617 0.7774 0.6392

Results
ΔE_f ... -31 meV/atom
Crystal system ... orthorhombic

# 17
Material: CoCuAs4
Method: DFT, PBE
State: optimized geometry

a b c (Å): 5.4162 5.4162 5.4162
angles (deg): 60.00 60.00 60.00
Fractional positions:
Co1 0.0000 0.0000 0.0000
Cu1 0.7500 0.7500 0.7500
As1 0.3754 0.3754 0.3754
As2 0.3754 0.3754 0.8737
As3 0.3754 0.8737 0.3754
As4 0.8737 0.3754 0.3754

Results
ΔE_f ... 794 meV/atom
Crystal system ... cubic

# 18
Material: AlHgRh2
Method: DFT, PBE
State: optimized geometry

a b c (Å): 9.8389 2.9775 4.6057
angles (deg): 90.00 109.63 90.00
Fractional positions:
Al1 0.0000 0.0000 0.0000
Al2 0.5000 0.5000 0.0000
Hg1 0.2608 0.5000 0.3833
Hg2 0.7608 0.0000 0.3833
Rh1 0.0164 0.5000 0.5273
Rh2 0.2726 0.0000 0.8973
Rh3 0.5164 0.0000 0.5273
Rh4 0.7726 0.5000 0.8973

Results
ΔE_f ... -219 meV/atom
Distance to the lowest polymorph of the same formula ... 1.111 eV per formula unit
Crystal system ... monoclinic

# 19
Material: AcLaPtO
Method: DFT, PBE
State: optimized geometry

a b c (Å): 4.7405 4.7405 9.2993
angles (deg): 90.00 90.00 90.00
Fractional positions:
Ac1 0.2500 0.2500 0.1037
Ac2 0.7500 0.7500 0.8963
La1 0.2500 0.7500 0.5000
La2 0.7500 0.2500 0.5000
Pt1 0.2500 0.2500 0.6845
Pt2 0.7500 0.7500 0.3155
O1 0.2500 0.7500 0.0000
O2 0.7500 0.2500 0.0000

Results
Crystal system ... tetragonal
Uncorrected formation energy ... -1777 meV per atom

# 20
Material: Pr5DyEr2
Method: DFT, PBE
State: optimized geometry

a b c (Å): 9.5469 9.5469 6.7411
angles (deg): 108.03 108.03 79.41
Fractional positions:
Pr1 0.1156 0.6326 0.1172
Pr2 0.2383 0.7617 0.7500
Pr3 0.2473 0.2736 0.7911
Pr4 0.2736 0.2473 0.2911
Pr5 0.3674 0.8844 0.3828
Pr6 0.6326 0.1156 0.6172
Pr7 0.7264 0.7527 0.7089
Pr8 0.7527 0.7264 0.2089
Pr9 0.7617 0.2383 0.2500
Pr10 0.8844 0.3674 0.8828
Dy1 0.4929 0.5071 0.2500
Dy2 0.5071 0.4929 0.7500
Er1 0.0000 0.0000 0.0000
Er2 0.0000 0.0000 0.5000
Er3 0.0000 0.5000 0.5000
Er4 0.5000 0.0000 0.0000

Results
ΔE_f ... 207 meV/atom
Distance to the lowest polymorph of the same formula ... 0.712 eV per formula unit
Crystal system ... monoclinic

no.,V (A^3/atom)
1,18.65
2,27.19
3,12.27
4,32.03
5,32.84
6,18.87
7,27.58
8,26.33
9,22.96
10,53.91
11,28.15
12,32.34
13,23.85
14,18.76
15,26.50
16,25.86
17,18.73
18,15.89
19,26.12
20,34.56